No. 1
Density functional theory data (PBE) for a geometry-optimized ScTa2Cr structure.

a b c (Å): 3.1924 3.1924 7.0044
angles (deg): 90.00 90.00 90.00
With the nearest neighbours (Å) after each atom.
Fractional coordinates of all 4 atoms:
Sc  0.5000  0.5000  0.7286  4 Cr 2.91, 5 Ta 3.07-3.15, 4 Sc 3.19
Ta  0.0000  0.0000  0.0251  8 Ta 2.87-3.19, 4 Sc 3.07, 1 Cr 3.10
Ta  0.5000  0.5000  0.2792  4 Cr 2.61, 4 Ta 2.87
Cr  0.0000  0.0000  0.4672  4 Ta 2.61, 4 Sc 2.91

## Properties
**Energy above the lowest structure with this stoichiometry**: 24 meV per atom

No. 2
Density functional theory data (PBE) for a geometry-optimized ScTaCr2 structure.

a b c (Å): 4.4915 4.4915 4.4915
angles (deg): 60.00 60.00 60.00
With the nearest neighbours (Å) after each atom.
Fractional coordinates of all 4 atoms:
Ta  0.7500  0.7500  0.7500  4 Cr 2.75, 4 Sc 2.75
Sc  0.5000  0.5000  0.5000  4 Ta 2.75, 4 Cr 2.75
Cr  0.0000  0.0000  0.0000  4 Cr 2.75, 4 Ta 2.75
Cr  0.2500  0.2500  0.2500  4 Cr 2.75, 4 Sc 2.75

## Properties
**Uncorrected energy**: -8.98 eV/atom

No. 3
Density functional theory data (PBE) for a geometry-optimized ScTaCr2 structure.

a b c (Å): 4.2490 2.8632 5.5442
angles (deg): 80.80 90.00 90.00
With the nearest neighbours (Å) after each atom.
Fractional coordinates of all 4 atoms:
Sc  0.5000  0.2500  0.2500  4 Cr 2.85, 2 Sc 2.86, 2 Ta 2.91
Cr  0.0000  0.4408  0.5624  1 Cr 2.19
Cr  0.0000  0.0592  0.9376  1 Cr 2.19
Ta  0.5000  0.7500  0.7500  4 Cr 2.58, 2 Ta 2.86

## Properties
**Uncorrected energy**: -9.02 eV/atom

No. 4
Density functional theory data (PBE) for a geometry-optimized ScTaCr2 structure.

a b c (Å): 5.2939 5.2939 5.2939
angles (deg): 146.34 129.62 61.97
With the nearest neighbours (Å) after each atom.
Fractional coordinates of all 4 atoms:
Cr  0.7773  0.2773  0.5000  2 Cr 2.35
Cr  0.9738  0.9738  0.0000  2 Cr 2.35
Ta  0.2380  0.7380  0.5000  6 Cr 2.75-2.85, 4 Sc 2.91-3.05, 2 Ta 3.07
Sc  0.5109  0.5109  0.0000  6 Cr 2.75-2.86, 4 Ta 2.91-3.05, 2 Sc 3.07

## Properties
**Uncorrected energy**: -9.17 eV/atom

No. 5
Density functional theory data (PBE) for a geometry-optimized ScTaCr2 structure.

a b c (Å): 3.1989 4.6804 4.3333
angles (deg): 90.00 90.00 90.00
With the nearest neighbours (Å) after each atom.
Fractional coordinates of all 4 atoms:
Sc  0.5000  0.0000  0.5000  4 Cr 2.69, 4 Ta 2.83
Cr  0.0000  0.0000  0.0000  4 Sc 2.69, 4 Cr 2.83
Cr  0.5000  0.5000  0.0000  4 Ta 2.69, 4 Cr 2.83
Ta  0.0000  0.5000  0.5000  4 Cr 2.69, 4 Sc 2.83

## Properties
**Uncorrected energy**: -8.97 eV/atom

No. 6
Density functional theory data (PBE) for a geometry-optimized ScTa2Cr structure.

a b c (Å): 3.2300 4.6015 4.6015
angles (deg): 90.00 90.00 90.00
With the nearest neighbours (Å) after each atom.
Fractional coordinates of all 4 atoms:
Sc  0.5000  0.0000  0.5000  8 Ta 2.81
Cr  0.5000  0.5000  0.0000  8 Ta 2.81
Ta  0.0000  0.0000  0.0000  4 Cr 2.81, 4 Sc 2.81
Ta  0.0000  0.5000  0.5000  4 Cr 2.81, 4 Sc 2.81

## Properties
**Energy above the lowest structure with this stoichiometry**: 195 meV per atom

No. 7
Density functional theory data (PBE) for a geometry-optimized ScTa2Cr structure.

a b c (Å): 4.5818 4.5818 4.5818
angles (deg): 60.00 60.00 60.00
With the nearest neighbours (Å) after each atom.
Fractional coordinates of all 4 atoms:
Cr  0.5000  0.5000  0.5000  8 Ta 2.81
Sc  0.0000  0.0000  0.0000  8 Ta 2.81
Ta  0.7500  0.7500  0.7500  4 Cr 2.81, 4 Sc 2.81
Ta  0.2500  0.2500  0.2500  4 Cr 2.81, 4 Sc 2.81

## Properties
**Energy above the lowest structure with this stoichiometry**: 145 meV per atom

No. 8
Density functional theory data (PBE) for a geometry-optimized ScTaCr2 structure.

a b c (Å): 6.9873 6.9873 5.6975
angles (deg): 52.18 52.18 90.00
With the nearest neighbours (Å) after each atom.
Fractional coordinates of all 8 atoms:
Cr  0.3750  0.3628  0.7500  2 Ta 2.51, 2 Sc 2.63
Cr  0.8750  0.8872  0.7500  2 Ta 2.51, 2 Sc 2.63
Cr  0.1128  0.6250  0.2500  2 Ta 2.51, 2 Sc 2.63
Cr  0.6372  0.1250  0.2500  2 Ta 2.51, 2 Sc 2.63
Ta  0.0000  0.0000  0.0000  4 Cr 2.51
Ta  0.7500  0.2500  0.5000  4 Cr 2.51
Sc  0.2500  0.7500  0.5000  4 Cr 2.63, 2 Ta 2.84
Sc  0.5000  0.5000  0.0000  4 Cr 2.63, 2 Ta 2.84

## Properties
**Uncorrected energy**: -8.55 eV/atom

No. 9
Density functional theory data (PBE) for a geometry-optimized ScTaCr2 structure.

a b c (Å): 5.3585 5.3585 5.3585
angles (deg): 139.22 139.22 59.04
With the nearest neighbours (Å) after each atom.
Fractional coordinates of all 4 atoms:
Ta  0.7500  0.2500  0.5000  4 Cr 2.64
Sc  0.5000  0.5000  0.0000  4 Cr 2.64
Cr  0.2500  0.7500  0.5000  4 Ta 2.64
Cr  0.0000  0.0000  0.0000  4 Sc 2.64

## Properties
**Uncorrected energy**: -8.95 eV/atom

No. 10
Density functional theory data (PBE) for a geometry-optimized ScTa2Cr structure.

a b c (Å): 5.3839 5.3839 2.8619
angles (deg): 90.00 90.00 118.56
With the nearest neighbours (Å) after each atom.
Fractional coordinates of all 4 atoms:
Ta  0.0000  0.0000  0.0000  4 Ta 2.75-2.86, 4 Sc 3.05, 4 Cr 3.05
Ta  0.5000  0.5000  0.0000  4 Ta 2.75-2.86, 4 Cr 3.05, 4 Sc 3.05
Cr  0.5000  0.0000  0.5000  2 Sc 2.75, 2 Cr 2.86, 8 Ta 3.05
Sc  0.0000  0.5000  0.5000  2 Cr 2.75, 2 Sc 2.86, 8 Ta 3.05

## Properties
**Energy above the lowest structure with this stoichiometry**: 240 meV per atom

No. 11
Density functional theory data (PBE) for a geometry-optimized ScTa2Cr structure.

a b c (Å): 7.3054 7.3054 5.8739
angles (deg): 51.55 51.55 90.00
With the nearest neighbours (Å) after each atom.
Fractional coordinates of all 8 atoms:
Sc  0.2500  0.7500  0.5000  2 Cr 2.80, 4 Ta 2.92
Sc  0.5000  0.5000  0.0000  2 Cr 2.80, 4 Ta 2.92
Cr  0.0000  0.0000  0.0000  4 Ta 2.46
Cr  0.7500  0.2500  0.5000  4 Ta 2.46
Ta  0.6717  0.1250  0.2500  2 Cr 2.46
Ta  0.0783  0.6250  0.2500  2 Cr 2.46
Ta  0.8750  0.9217  0.7500  2 Cr 2.46
Ta  0.3750  0.3283  0.7500  2 Cr 2.46

## Properties
**Energy above the lowest structure with this stoichiometry**: 485 meV per atom

No. 12
Density functional theory data (PBE) for a geometry-optimized ScTa2Cr structure.

a b c (Å): 2.8833 2.8833 9.0747
angles (deg): 90.00 90.00 110.99
With the nearest neighbours (Å) after each atom.
Fractional coordinates of all 4 atoms:
Ta  0.5000  0.5000  0.2741  2 Cr 2.53
Ta  0.0000  0.0000  0.0156  6 Ta 2.86-2.88, 2 Sc 3.11
Sc  0.5000  0.5000  0.7235  2 Cr 2.70, 4 Sc 2.88
Cr  0.0000  0.0000  0.4868  2 Ta 2.53, 2 Sc 2.70

## Properties
**Energy above the lowest structure with this stoichiometry**: 72 meV per atom